DFT (PBEsol) results for crystalline LaMg2 at its relaxed geometry.

Output
formation enthalpy at 0 K: -62 meV per atom
uncorrected energy: -2.989 eV per atom

Cell and atoms, written as CIF:
```
data_LaMg2
_chemical_formula_sum 'La2 Mg4'
_cell_length_a 3.410
_cell_length_b 3.410
_cell_length_c 13.879
_cell_angle_alpha 90.00
_cell_angle_beta 90.00
_cell_angle_gamma 90.00
_symmetry_space_group_name_H-M 'I 4/m m m'
_symmetry_Int_Tables_number 139
_symmetry_space_group_name_Hall '-I 4 2'
loop_
_atom_site_label
_atom_site_type_symbol
_atom_site_fract_x
_atom_site_fract_y
_atom_site_fract_z
La1 La 0.000 0.000 0.000
Mg1 Mg 0.000 0.000 0.321
```


DFT (PBEsol) results for crystalline Sr2MnPb at its relaxed geometry.

Output
formation enthalpy at 0 K: 131 meV per atom
uncorrected energy: -4.229 eV per atom

Cell and atoms, written as CIF:
```
data_Sr2MnPb
_chemical_formula_sum 'Sr2 Mn1 Pb1'
_cell_length_a 5.537
_cell_length_b 5.537
_cell_length_c 4.064
_cell_angle_alpha 90.00
_cell_angle_beta 90.00
_cell_angle_gamma 90.00
_symmetry_space_group_name_H-M 'P 4/m m m'
_symmetry_Int_Tables_number 123
_symmetry_space_group_name_Hall '-P 4 2'
loop_
_atom_site_label
_atom_site_type_symbol
_atom_site_fract_x
_atom_site_fract_y
_atom_site_fract_z
Sr1 Sr 0.000 0.500 0.000
Mn1 Mn 0.000 0.000 0.500
Pb1 Pb 0.500 0.500 0.500
```


DFT (PBEsol) results for crystalline ReAsOs at its relaxed geometry.

Output
formation enthalpy at 0 K: 437 meV per atom
uncorrected energy: -9.781 eV per atom

Cell and atoms, written as CIF:
```
data_ReAsOs
_chemical_formula_sum 'Re2 As2 Os2'
_cell_length_a 2.864
_cell_length_b 3.970
_cell_length_c 7.703
_cell_angle_alpha 90.00
_cell_angle_beta 90.00
_cell_angle_gamma 90.00
_symmetry_space_group_name_H-M 'I m m 2'
_symmetry_Int_Tables_number 44
_symmetry_space_group_name_Hall 'I 2 -2'
loop_
_atom_site_label
_atom_site_type_symbol
_atom_site_fract_x
_atom_site_fract_y
_atom_site_fract_z
Re1 Re 0.000 0.000 0.000
As1 As 0.000 0.000 0.676
Os1 Os 0.000 0.000 0.351
```


DFT (PBEsol) results for crystalline ScMnRu2 at its relaxed geometry.

Output
formation enthalpy at 0 K: -42 meV per atom
uncorrected energy: -9.219 eV per atom

Cell and atoms, written as CIF:
```
data_ScMnRu2
_chemical_formula_sum 'Sc2 Mn2 Ru4'
_cell_length_a 9.819
_cell_length_b 3.060
_cell_length_c 4.260
_cell_angle_alpha 90.00
_cell_angle_beta 115.64
_cell_angle_gamma 90.00
_symmetry_space_group_name_H-M 'C 1 m 1'
_symmetry_Int_Tables_number 8
_symmetry_space_group_name_Hall 'C -2y'
loop_
_atom_site_label
_atom_site_type_symbol
_atom_site_fract_x
_atom_site_fract_y
_atom_site_fract_z
Sc1 Sc 0.000 0.000 0.000
Mn1 Mn 0.237 0.000 0.736
Ru1 Ru 0.255 0.500 0.255
Ru2 Ru 0.498 0.000 0.498
```


DFT (PBEsol) results for crystalline MgInW2 at its relaxed geometry.

Output
formation enthalpy at 0 K: 338 meV per atom
uncorrected energy: -7.740 eV per atom

Cell and atoms, written as CIF:
```
data_MgInW2
_chemical_formula_sum 'Mg2 In2 W4'
_cell_length_a 3.233
_cell_length_b 4.729
_cell_length_c 9.390
_cell_angle_alpha 90.00
_cell_angle_beta 90.00
_cell_angle_gamma 90.00
_symmetry_space_group_name_H-M 'C m m 2'
_symmetry_Int_Tables_number 35
_symmetry_space_group_name_Hall 'C 2 -2'
loop_
_atom_site_label
_atom_site_type_symbol
_atom_site_fract_x
_atom_site_fract_y
_atom_site_fract_z
Mg1 Mg 0.000 0.000 0.000
In1 In 0.000 0.500 0.278
W1 W 0.000 0.000 0.535
W2 W 0.000 0.500 0.753
```


DFT (PBEsol) results for crystalline Hg2IrOs at its relaxed geometry.

Output
formation enthalpy at 0 K: 889 meV per atom
uncorrected energy: -4.904 eV per atom

Cell and atoms, written as CIF:
```
data_Hg2IrOs
_chemical_formula_sum 'Hg2 Ir1 Os1'
_cell_length_a 2.865
_cell_length_b 4.050
_cell_length_c 5.754
_cell_angle_alpha 90.00
_cell_angle_beta 90.00
_cell_angle_gamma 90.00
_symmetry_space_group_name_H-M 'P m m m'
_symmetry_Int_Tables_number 47
_symmetry_space_group_name_Hall '-P 2 2'
loop_
_atom_site_label
_atom_site_type_symbol
_atom_site_fract_x
_atom_site_fract_y
_atom_site_fract_z
Hg1 Hg 0.000 0.000 0.249
Ir1 Ir 0.500 0.500 0.000
Os1 Os 0.500 0.500 0.500
```


DFT (PBEsol) results for crystalline Y2Ru at its relaxed geometry.

Output
formation enthalpy at 0 K: -206 meV per atom
uncorrected energy: -8.145 eV per atom

Cell and atoms, written as CIF:
```
data_Y2Ru
_chemical_formula_sum 'Y8 Ru4'
_cell_length_a 3.466
_cell_length_b 15.510
_cell_length_c 5.122
_cell_angle_alpha 90.00
_cell_angle_beta 90.00
_cell_angle_gamma 90.00
_symmetry_space_group_name_H-M 'C m c m'
_symmetry_Int_Tables_number 63
_symmetry_space_group_name_Hall '-C 2c 2'
loop_
_atom_site_label
_atom_site_type_symbol
_atom_site_fract_x
_atom_site_fract_y
_atom_site_fract_z
Y1 Y 0.000 0.070 0.250
Y2 Y 0.000 0.210 0.750
Ru1 Ru 0.000 0.426 0.250
```


DFT (PBEsol) results for crystalline Sr2ZnCl at its relaxed geometry.

Output
ΔE_f (raw): -785 meV per atom
uncorrected energy: -2.602 eV per atom

Cell and atoms, written as CIF:
```
data_Sr2ZnCl
_chemical_formula_sum 'Sr2 Zn1 Cl1'
_cell_length_a 5.588
_cell_length_b 5.588
_cell_length_c 3.571
_cell_angle_alpha 90.00
_cell_angle_beta 90.00
_cell_angle_gamma 90.00
_symmetry_space_group_name_H-M 'P 4/m m m'
_symmetry_Int_Tables_number 123
_symmetry_space_group_name_Hall '-P 4 2'
loop_
_atom_site_label
_atom_site_type_symbol
_atom_site_fract_x
_atom_site_fract_y
_atom_site_fract_z
Sr1 Sr 0.000 0.500 0.000
Zn1 Zn 0.000 0.000 0.500
Cl1 Cl 0.500 0.500 0.500
```


DFT (PBEsol) results for crystalline RbNa3Cd at its relaxed geometry.

Output
formation enthalpy at 0 K: 57 meV per atom
uncorrected energy: -1.227 eV per atom

Cell and atoms, written as CIF:
```
data_RbNa3Cd
_chemical_formula_sum 'Rb1 Na3 Cd1'
_cell_length_a 6.008
_cell_length_b 6.008
_cell_length_c 6.008
_cell_angle_alpha 90.00
_cell_angle_beta 90.00
_cell_angle_gamma 90.00
_symmetry_space_group_name_H-M 'P m -3 m'
_symmetry_Int_Tables_number 221
_symmetry_space_group_name_Hall '-P 4 2 3'
loop_
_atom_site_label
_atom_site_type_symbol
_atom_site_fract_x
_atom_site_fract_y
_atom_site_fract_z
Rb1 Rb 0.000 0.000 0.000
Na1 Na 0.000 0.500 0.500
Cd1 Cd 0.500 0.500 0.500
```


DFT (PBEsol) results for crystalline Li3ReH at its relaxed geometry.

Output
uncorrected energy: -3.733 eV per atom

Cell and atoms, written as CIF:
```
data_Li3ReH
_chemical_formula_sum 'Li3 Re1 H1'
_cell_length_a 3.745
_cell_length_b 3.745
_cell_length_c 3.745
_cell_angle_alpha 90.00
_cell_angle_beta 90.00
_cell_angle_gamma 90.00
_symmetry_space_group_name_H-M 'P m -3 m'
_symmetry_Int_Tables_number 221
_symmetry_space_group_name_Hall '-P 4 2 3'
loop_
_atom_site_label
_atom_site_type_symbol
_atom_site_fract_x
_atom_site_fract_y
_atom_site_fract_z
Li1 Li 0.000 0.000 0.500
Re1 Re 0.500 0.500 0.500
H1 H 0.000 0.000 0.000
```


DFT (PBEsol) results for crystalline CaTiP2 at its relaxed geometry.

Output
formation enthalpy at 0 K: -554 meV per atom
uncorrected energy: -6.063 eV per atom

Cell and atoms, written as CIF:
```
data_CaTiP2
_chemical_formula_sum 'Ca4 Ti4 P8'
_cell_length_a 6.494
_cell_length_b 6.494
_cell_length_c 6.494
_cell_angle_alpha 90.00
_cell_angle_beta 90.00
_cell_angle_gamma 90.00
_symmetry_space_group_name_H-M 'F m -3 m'
_symmetry_Int_Tables_number 225
_symmetry_space_group_name_Hall '-F 4 2 3'
loop_
_atom_site_label
_atom_site_type_symbol
_atom_site_fract_x
_atom_site_fract_y
_atom_site_fract_z
Ca1 Ca 0.000 0.000 0.000
Ti1 Ti 0.000 0.000 0.500
P1 P 0.250 0.250 0.250
```


DFT (PBEsol) results for crystalline IrRhI2N at its relaxed geometry.

Output
ΔE_f (raw): 823 meV per atom
uncorrected energy: -5.181 eV per atom

Cell and atoms, written as CIF:
```
data_IrRhI2N
_chemical_formula_sum 'Ir1 Rh1 I2 N1'
_cell_length_a 5.401
_cell_length_b 5.401
_cell_length_c 3.626
_cell_angle_alpha 90.00
_cell_angle_beta 90.00
_cell_angle_gamma 90.00
_symmetry_space_group_name_H-M 'P 4/m m m'
_symmetry_Int_Tables_number 123
_symmetry_space_group_name_Hall '-P 4 2'
loop_
_atom_site_label
_atom_site_type_symbol
_atom_site_fract_x
_atom_site_fract_y
_atom_site_fract_z
Ir1 Ir 0.000 0.000 0.000
Rh1 Rh 0.500 0.500 0.500
I1 I 0.000 0.500 0.000
N1 N 0.000 0.000 0.500
```


Number 1: calculated volume 161.4 Å³ per cell, N(E_F) 0.942 states/eV per atom, magnetization 0.00 μB per cell. Number 2: calculated volume 124.6 Å³ per cell, N(E_F) 0.804 states/eV per atom, magnetization 4.51 μB per cell. Number 3: calculated volume 87.6 Å³ per cell, N(E_F) 0.692 states/eV per atom, magnetization 0.00 μB per cell. Number 4: calculated volume 115.4 Å³ per cell, N(E_F) 0.887 states/eV per atom, magnetization 6.76 μB per cell. Number 5: calculated volume 143.6 Å³ per cell, N(E_F) 0.499 states/eV per atom, magnetization 0.00 μB per cell. Number 6: calculated volume 66.8 Å³ per cell, N(E_F) 1.443 states/eV per atom, magnetization 0.80 μB per cell. Number 7: calculated volume 275.4 Å³ per cell, N(E_F) 0.653 states/eV per atom, magnetization 0.00 μB per cell. Number 8: calculated volume 111.5 Å³ per cell, N(E_F) 0.701 states/eV per atom, magnetization 0.00 μB per cell. Number 9: calculated volume 216.9 Å³ per cell, N(E_F) 0.471 states/eV per atom, magnetization 0.00 μB per cell. Number 10: calculated volume 52.5 Å³ per cell, N(E_F) 0.762 states/eV per atom, magnetization 0.00 μB per cell. Number 11: calculated volume 273.9 Å³ per cell, N(E_F) 1.070 states/eV per atom, magnetization 2.67 μB per cell. Number 12: calculated volume 105.8 Å³ per cell, N(E_F) 1.013 states/eV per atom, magnetization 0.51 μB per cell.